An optimized crystal structure of MnNi2IrO6, computed with PBE+U.

a = 5.1419 Å, b = 5.1419 Å, c = 13.8756 Å
α = 90.00°, β = 90.00°, γ = 120.00°
Space group R3 (No. 146, hexagonal axes)
Symmetry-distinct sites (fractional):
Mn1 0.0000 0.0000 0.0000
Ni1 0.0000 0.0000 0.2921
Ni2 0.0000 0.0000 0.7967
Ir1 0.0000 0.0000 0.4931
O1 0.0306 0.3473 0.5625
O2 0.0370 0.6690 0.0661

Summary:
The final energy comes out at -184.9 eV/cell. The crystal system is trigonal. For the total magnetic moment, the calculation gives 17.97 μB per cell.